Computed, not measured: a relaxed structure of LiTa at the PBE level of DFT.

Output
V	38.4	Å³ per cell
electronic total energy	-4.09	eV per atom
total magnetic moment	0.51	μB/f.u.
energy relative to the lowest polymorph listed for this composition	2398	meV/atom
theoretical density	8.13	g cm⁻³

Unit cell a=3.7858 b=3.7858 c=3.7858 alpha=60.00 beta=60.00 gamma=60.00
Fractional coordinates of all 2 atoms:
Li (0.0000, 0.0000, 0.0000)
Ta (0.2500, 0.2500, 0.2500)



Computed, not measured: a relaxed structure of LiTaTeW at the PBE level of DFT.

Output
V	67.3	Å³ per cell
electronic total energy	-7.19	eV per atom
total magnetic moment	0.00	μB/f.u.
energy relative to the lowest polymorph listed for this composition	0	meV/atom
theoretical density	12.32	g cm⁻³

Unit cell a=4.5652 b=4.5652 c=4.5652 alpha=60.00 beta=60.00 gamma=60.00
Fractional coordinates of all 4 atoms:
Te (0.5000, 0.5000, 0.5000)
W (0.2500, 0.2500, 0.2500)
Ta (0.0000, 0.0000, 0.0000)
Li (0.7500, 0.7500, 0.7500)



Computed, not measured: a relaxed structure of LiTaTeW at the PBE level of DFT.

Output
V	67.5	Å³ per cell
electronic total energy	-6.74	eV per atom
total magnetic moment	0.00	μB/f.u.
energy relative to the lowest polymorph listed for this composition	454	meV/atom
theoretical density	12.28	g cm⁻³

Unit cell a=4.5708 b=4.5708 c=4.5708 alpha=60.00 beta=60.00 gamma=60.00
Fractional coordinates of all 4 atoms:
W (0.0000, 0.0000, 0.0000)
Ta (0.5000, 0.5000, 0.5000)
Te (0.2500, 0.2500, 0.2500)
Li (0.7500, 0.7500, 0.7500)



Computed, not measured: a relaxed structure of LiUTa at the PBE level of DFT.

Output
V	62.1	Å³ per cell
electronic total energy	-6.80	eV per atom
total magnetic moment	0.01	μB/f.u.
theoretical density	11.39	g cm⁻³

Unit cell a=4.4443 b=4.4443 c=4.4443 alpha=60.00 beta=60.00 gamma=60.00
Fractional coordinates of all 3 atoms:
Li (0.2500, 0.2500, 0.2500)
U (0.0000, 0.0000, 0.0000)
Ta (0.7500, 0.7500, 0.7500)



Computed, not measured: a relaxed structure of LiYTa at the PBE level of DFT.

Output
V	78.1	Å³ per cell
electronic total energy	-5.15	eV per atom
total magnetic moment	1.98	μB/f.u.
energy relative to the lowest polymorph listed for this composition	166	meV/atom
theoretical density	5.88	g cm⁻³

Unit cell a=4.7986 b=4.7986 c=4.7986 alpha=60.00 beta=60.00 gamma=60.00
Fractional coordinates of all 3 atoms:
Ta (0.2500, 0.2500, 0.2500)
Y (0.5000, 0.5000, 0.5000)
Li (0.7500, 0.7500, 0.7500)



Computed, not measured: a relaxed structure of Li2YTa at the PBE level of DFT.

Output
V	83.5	Å³ per cell
electronic total energy	-4.79	eV per atom
total magnetic moment	2.32	μB/f.u.
theoretical density	5.64	g cm⁻³

Unit cell a=4.9070 b=4.9070 c=4.9070 alpha=60.00 beta=60.00 gamma=60.00
Fractional coordinates of all 4 atoms:
Y (0.0000, 0.0000, 0.0000)
Ta (0.2500, 0.2500, 0.2500)
Li (0.7500, 0.7500, 0.7500)
Li (0.5000, 0.5000, 0.5000)



Computed, not measured: a relaxed structure of Li2TaZn at the PBE level of DFT.

Output
V	58.7	Å³ per cell
electronic total energy	-3.82	eV per atom
total magnetic moment	0.03	μB/f.u.
theoretical density	7.36	g cm⁻³

Unit cell a=4.3627 b=4.3627 c=4.3627 alpha=60.00 beta=60.00 gamma=60.00
Fractional coordinates of all 4 atoms:
Ta (0.2500, 0.2500, 0.2500)
Li (0.0000, 0.0000, 0.0000)
Zn (0.5000, 0.5000, 0.5000)
Li (0.7500, 0.7500, 0.7500)



Computed, not measured: a relaxed structure of LiTaZn at the PBE level of DFT.

Output
V	55.3	Å³ per cell
electronic total energy	-3.87	eV per atom
total magnetic moment	0.00	μB/f.u.
energy relative to the lowest polymorph listed for this composition	269	meV/atom
theoretical density	7.60	g cm⁻³

Unit cell a=4.2774 b=4.2774 c=4.2774 alpha=60.00 beta=60.00 gamma=60.00
Fractional coordinates of all 3 atoms:
Zn (0.7500, 0.7500, 0.7500)
Ta (0.0000, 0.0000, 0.0000)
Li (0.2500, 0.2500, 0.2500)



Computed, not measured: a relaxed structure of LiZrTa2 at the PBE level of DFT.

Output
V	72.4	Å³ per cell
electronic total energy	-8.27	eV per atom
total magnetic moment	0.01	μB/f.u.
theoretical density	10.54	g cm⁻³

Unit cell a=4.6793 b=4.6793 c=4.6793 alpha=60.00 beta=60.00 gamma=60.00
Fractional coordinates of all 4 atoms:
Ta (0.7500, 0.7500, 0.7500)
Li (0.5000, 0.5000, 0.5000)
Zr (0.2500, 0.2500, 0.2500)
Ta (0.0000, 0.0000, 0.0000)



Computed, not measured: a relaxed structure of LiTb at the PBE level of DFT.

Output
V	68.1	Å³ per cell
electronic total energy	-2.01	eV per atom
total magnetic moment	0.98	μB/f.u.
energy relative to the lowest polymorph listed for this composition	1105	meV/atom
theoretical density	4.04	g cm⁻³

Unit cell a=4.5844 b=4.5844 c=4.5844 alpha=60.00 beta=60.00 gamma=60.00
Fractional coordinates of all 2 atoms:
Tb (0.2500, 0.2500, 0.2500)
Li (0.0000, 0.0000, 0.0000)



Computed, not measured: a relaxed structure of LiTb at the PBE level of DFT.

Output
V	53.0	Å³ per cell
electronic total energy	-3.08	eV per atom
total magnetic moment	0.01	μB/f.u.
energy relative to the lowest polymorph listed for this composition	28	meV/atom
theoretical density	5.20	g cm⁻³

Unit cell a=3.3538 b=3.3538 c=5.4361 alpha=90.00 beta=90.00 gamma=120.00
Fractional coordinates of all 2 atoms:
Tb (0.3333, 0.6667, 0.2500)
Li (0.6667, 0.3333, 0.7500)



Computed, not measured: a relaxed structure of LiTb at the PBE level of DFT.

Output
V	50.2	Å³ per cell
electronic total energy	-3.11	eV per atom
total magnetic moment	0.14	μB/f.u.
energy relative to the lowest polymorph listed for this composition	0	meV/atom
theoretical density	5.48	g cm⁻³

Unit cell a=3.6895 b=3.6895 c=3.6895 alpha=90.00 beta=90.00 gamma=90.00
Fractional coordinates of all 2 atoms:
Tb (0.0000, 0.0000, 0.0000)
Li (0.5000, 0.5000, 0.5000)